Mn3V5O12, optimized geometry, DFT PBE with a Hubbard U; volume = 11.7 Å³ per atom; N(E_F) = 27.892 states/eV/cell; E = -7.78 eV/atom; space-group type = Ia-3d (230)
1.0
10.685 0.000 0.000
-3.562 10.074 0.000
-3.562 -5.037 8.724
Mn V O
12 20 48
Direct
0.750 0.375 0.125
0.875 0.750 0.125
0.375 0.750 0.625
0.250 0.125 0.375
0.875 0.125 0.250
0.375 0.625 0.250
0.625 0.375 0.750
0.125 0.875 0.750
0.750 0.875 0.625
0.625 0.250 0.375
0.125 0.250 0.875
0.250 0.625 0.875
0.125 0.375 0.250
0.000 0.500 0.000
0.000 0.000 0.000
0.375 0.250 0.125
0.500 0.000 0.500
0.500 0.500 0.000
0.125 0.750 0.375
0.750 0.125 0.875
0.750 0.625 0.375
0.375 0.125 0.750
0.625 0.875 0.250
0.500 0.500 0.500
0.500 0.000 0.000
0.000 0.000 0.500
0.250 0.375 0.625
0.250 0.875 0.125
0.000 0.500 0.500
0.875 0.250 0.625
0.625 0.750 0.875
0.875 0.625 0.750
0.707 0.123 0.027
0.319 0.527 0.404
0.973 0.377 0.293
0.527 0.207 0.123
0.584 0.707 0.681
0.973 0.596 0.181
0.319 0.793 0.416
0.096 0.916 0.123
0.596 0.973 0.681
0.707 0.584 0.181
0.793 0.473 0.377
0.819 0.904 0.027
0.123 0.707 0.527
0.377 0.404 0.084
0.084 0.904 0.377
0.416 0.123 0.596
0.084 0.181 0.207
0.473 0.681 0.096
0.819 0.916 0.293
0.123 0.416 0.096
0.377 0.973 0.793
0.596 0.623 0.416
0.904 0.819 0.527
0.793 0.319 0.916
0.404 0.377 0.584
0.096 0.181 0.473
0.207 0.681 0.084
0.181 0.084 0.707
0.623 0.027 0.207
0.877 0.584 0.904
0.527 0.319 0.904
0.584 0.877 0.404
0.916 0.819 0.793
0.916 0.096 0.623
0.877 0.293 0.473
0.181 0.096 0.973
0.623 0.596 0.916
0.404 0.027 0.319
0.293 0.416 0.819
0.207 0.527 0.623
0.904 0.084 0.877
0.681 0.207 0.584
0.473 0.793 0.877
0.027 0.404 0.819
0.416 0.293 0.319
0.027 0.623 0.707
0.681 0.473 0.596
0.293 0.877 0.973